[1]
A relaxed structure of PmHoAlGe. Source: the Alexandria database, functional PBE.

Values from the calculation:
Final energy: -4.8645 eV per atom
Size of the total moment: 0.00 μB/f.u.
Crystal system: cubic
Space group: F-43m (216)
ΔH_f (0 K): -0.442 eV per atom
Excess energy over the best structure of this formula in the dataset: 235 meV per atom

abc: 5.1431 5.1431 5.1431
angles: 60.00 60.00 60.00
Fractional coordinates of all 4 atoms:
Pm 0.0000 0.0000 0.0000
Ho 0.5000 0.5000 0.5000
Al 0.2500 0.2500 0.2500
Ge 0.7500 0.7500 0.7500


[2]
A relaxed structure of Ho2AlGe3Pt4. Source: the Alexandria database, functional PBE.

Values from the calculation:
Final energy: -6.0390 eV per atom
Size of the total moment: 0.00 μB/f.u.
Crystal system: tetragonal
Space group: P-4m2 (115)
ΔH_f (0 K): -0.948 eV per atom

abc: 4.2258 4.2258 10.3928
angles: 90.00 90.00 90.00
Fractional coordinates of all 10 atoms:
Ho 0.0000 0.5000 0.2484
Ho 0.5000 0.0000 0.7516
Al 0.0000 0.0000 0.5000
Ge 0.0000 0.5000 0.8650
Ge 0.5000 0.0000 0.1350
Ge 0.5000 0.5000 0.5000
Pt 0.0000 0.0000 0.0000
Pt 0.0000 0.5000 0.6324
Pt 0.5000 0.0000 0.3676
Pt 0.5000 0.5000 0.0000


[3]
A relaxed structure of HoAlGePt3. Source: the Alexandria database, functional PBE.

Values from the calculation:
Final energy: -5.9629 eV per atom
Size of the total moment: 0.00 μB/f.u.
Crystal system: orthorhombic
Space group: Cmcm (63)
ΔH_f (0 K): -0.786 eV per atom

abc: 8.4987 8.4987 5.5648
angles: 90.00 90.00 141.58
Fractional coordinates of all 12 atoms:
Ho 0.1946 0.8054 0.7500
Ho 0.8054 0.1946 0.2500
Al 0.4037 0.5963 0.2500
Al 0.5963 0.4037 0.7500
Ge 0.0976 0.9024 0.2500
Ge 0.9024 0.0976 0.7500
Pt 0.2501 0.2501 0.0000
Pt 0.2501 0.2501 0.5000
Pt 0.2512 0.7488 0.2500
Pt 0.7488 0.2512 0.7500
Pt 0.7499 0.7499 0.0000
Pt 0.7499 0.7499 0.5000


[4]
A relaxed structure of Ho2Al3GePt4. Source: the Alexandria database, functional PBE.

Values from the calculation:
Final energy: -5.9855 eV per atom
Size of the total moment: 0.00 μB/f.u.
Crystal system: tetragonal
Space group: P-4m2 (115)
ΔH_f (0 K): -1.069 eV per atom

abc: 4.1389 4.1389 10.7115
angles: 90.00 90.00 90.00
Fractional coordinates of all 10 atoms:
Ho 0.0000 0.5000 0.2437
Ho 0.5000 0.0000 0.7563
Al 0.0000 0.0000 0.0000
Al 0.0000 0.5000 0.6331
Al 0.5000 0.0000 0.3669
Ge 0.5000 0.5000 0.0000
Pt 0.0000 0.0000 0.5000
Pt 0.0000 0.5000 0.8608
Pt 0.5000 0.0000 0.1392
Pt 0.5000 0.5000 0.5000


[5]
A relaxed structure of Ho2Al4GePt3. Source: the Alexandria database, functional PBE.

Values from the calculation:
Final energy: -5.6411 eV per atom
Size of the total moment: 0.00 μB/f.u.
Crystal system: tetragonal
Space group: P-4m2 (115)
ΔH_f (0 K): -0.955 eV per atom

abc: 4.1631 4.1631 10.7454
angles: 90.00 90.00 90.00
Fractional coordinates of all 10 atoms:
Ho 0.0000 0.5000 0.2462
Ho 0.5000 0.0000 0.7538
Al 0.0000 0.0000 0.0000
Al 0.0000 0.5000 0.6390
Al 0.5000 0.0000 0.3610
Al 0.5000 0.5000 0.0000
Ge 0.0000 0.0000 0.5000
Pt 0.0000 0.5000 0.8652
Pt 0.5000 0.0000 0.1348
Pt 0.5000 0.5000 0.5000


[6]
A relaxed structure of Ho2Al2GeRh5. Source: the Alexandria database, functional PBE.

Values from the calculation:
Final energy: -6.6555 eV per atom
Size of the total moment: 0.00 μB/f.u.
Crystal system: tetragonal
Space group: P4/mbm (127)
ΔH_f (0 K): -0.854 eV per atom

abc: 9.8195 9.8195 3.4386
angles: 90.00 90.00 90.00
Fractional coordinates of all 20 atoms:
Ho 0.1738 0.3262 0.0000
Ho 0.3262 0.8262 0.0000
Ho 0.6738 0.1738 0.0000
Ho 0.8262 0.6738 0.0000
Al 0.1244 0.6244 0.0000
Al 0.3756 0.1244 0.0000
Al 0.6244 0.8756 0.0000
Al 0.8756 0.3756 0.0000
Ge 0.0000 0.0000 0.0000
Ge 0.5000 0.5000 0.0000
Rh 0.0000 0.5000 0.5000
Rh 0.0669 0.7985 0.5000
Rh 0.2015 0.0669 0.5000
Rh 0.2985 0.5669 0.5000
Rh 0.4331 0.2985 0.5000
Rh 0.5000 0.0000 0.5000
Rh 0.5669 0.7015 0.5000
Rh 0.7015 0.4331 0.5000
Rh 0.7985 0.9331 0.5000
Rh 0.9331 0.2015 0.5000


[7]
A relaxed structure of Ho2AlGe2Ru5. Source: the Alexandria database, functional PBE.

Values from the calculation:
Final energy: -7.3320 eV per atom
Size of the total moment: 0.00 μB/f.u.
Crystal system: tetragonal
Space group: P4/mbm (127)
ΔH_f (0 K): -0.481 eV per atom

abc: 9.9973 9.9973 3.3146
angles: 90.00 90.00 90.00
Fractional coordinates of all 20 atoms:
Ho 0.1715 0.3285 0.0000
Ho 0.3285 0.8285 0.0000
Ho 0.6715 0.1715 0.0000
Ho 0.8285 0.6715 0.0000
Al 0.0000 0.0000 0.0000
Al 0.5000 0.5000 0.0000
Ge 0.1302 0.6302 0.0000
Ge 0.3698 0.1302 0.0000
Ge 0.6302 0.8698 0.0000
Ge 0.8698 0.3698 0.0000
Ru 0.0000 0.5000 0.5000
Ru 0.0634 0.7995 0.5000
Ru 0.2005 0.0634 0.5000
Ru 0.2995 0.5634 0.5000
Ru 0.4366 0.2995 0.5000
Ru 0.5000 0.0000 0.5000
Ru 0.5634 0.7005 0.5000
Ru 0.7005 0.4366 0.5000
Ru 0.7995 0.9366 0.5000
Ru 0.9366 0.2005 0.5000


[8]
A relaxed structure of Ho2AlSiGe. Source: the Alexandria database, functional PBE.

Values from the calculation:
Final energy: -5.0879 eV per atom
Formation energy (no corrections): -0.50 eV/atom
Size of the total moment: 0.00 μB/f.u.
Crystal system: monoclinic
Space group: P2_1/m (11)

abc: 7.2442 4.0152 8.2653
angles: 90.00 108.70 90.00
Fractional coordinates of all 10 atoms:
Ho 0.1470 0.2500 0.4037
Ho 0.2695 0.2500 0.9657
Ho 0.7305 0.7500 0.0343
Ho 0.8530 0.7500 0.5963
Al 0.4836 0.7500 0.2902
Al 0.5164 0.2500 0.7098
Si 0.2969 0.7500 0.7017
Si 0.7031 0.2500 0.2983
Ge 0.1386 0.7500 0.1597
Ge 0.8614 0.2500 0.8403


[9]
A relaxed structure of SmHoAlGe. Source: the Alexandria database, functional PBE.

Values from the calculation:
Final energy: -5.0962 eV per atom
Size of the total moment: 0.00 μB/f.u.
Crystal system: orthorhombic
Space group: Amm2 (38)
ΔH_f (0 K): -0.682 eV per atom

abc: 4.0475 5.9142 5.9142
angles: 43.84 90.00 90.00
Fractional coordinates of all 4 atoms:
Sm 0.0000 0.0000 0.0000
Ho 0.5000 0.2817 0.2817
Al 0.0000 0.7162 0.7162
Ge 0.5000 0.5646 0.5646


[10]
A relaxed structure of AlGeI2. Source: the Alexandria database, functional PBE.

Values from the calculation:
Final energy: -2.5272 eV per atom
Formation energy (no corrections): 0.34 eV/atom
Size of the total moment: 0.00 μB/f.u.
Crystal system: tetragonal
Space group: I-42d (122)
Excess energy over the best structure of this formula in the dataset: 48 meV per atom

abc: 10.1485 10.1485 10.1485
angles: 147.88 147.88 46.06
Fractional coordinates of all 8 atoms:
Al 0.0000 0.0000 0.0000
Al 0.7500 0.2500 0.5000
Ge 0.2500 0.7500 0.5000
Ge 0.5000 0.5000 0.0000
I 0.1358 0.6250 0.0108
I 0.3750 0.3858 0.5108
I 0.6142 0.1250 0.9892
I 0.8750 0.8642 0.4892


[11]
A relaxed structure of AlGeI2. Source: the Alexandria database, functional PBE.

Values from the calculation:
Final energy: -2.5755 eV per atom
Formation energy (no corrections): 0.29 eV/atom
Size of the total moment: 0.00 μB/f.u.
Crystal system: cubic
Space group: Fm-3m (225)
Excess energy over the best structure of this formula in the dataset: 0 meV per atom

abc: 5.4366 5.4366 5.4366
angles: 60.00 60.00 60.00
Fractional coordinates of all 4 atoms:
Al 0.0000 0.0000 0.0000
Ge 0.5000 0.5000 0.5000
I 0.2500 0.2500 0.2500
I 0.7500 0.7500 0.7500


[12]
A relaxed structure of Al2Ge2I. Source: the Alexandria database, functional PBE.

Values from the calculation:
Final energy: -3.3519 eV per atom
Formation energy (no corrections): 0.30 eV/atom
Size of the total moment: 0.00 μB/f.u.
Crystal system: tetragonal
Space group: P4/mbm (127)
Excess energy over the best structure of this formula in the dataset: 192 meV per atom

abc: 8.5792 8.5792 2.9964
angles: 90.00 90.00 90.00
Fractional coordinates of all 10 atoms:
Al 0.1431 0.3569 0.0000
Al 0.3569 0.8569 0.0000
Al 0.6431 0.1431 0.0000
Al 0.8569 0.6431 0.0000
Ge 0.1463 0.6463 0.5000
Ge 0.3537 0.1463 0.5000
Ge 0.6463 0.8537 0.5000
Ge 0.8537 0.3537 0.5000
I 0.0000 0.0000 0.5000
I 0.5000 0.5000 0.5000